(P)
## Dy2YPt (PBE-GGA)

Data for an optimized crystal structure of Dy2YPt.

Cell lengths 3.8228, 6.3603, 9.3321 Å; angles 90.00, 90.00, 107.48 degrees
Element x y z (fractional)
Pt1 0.2613 0.5228 0.7500
Pt2 0.7387 0.4772 0.2500
Dy1 0.1374 0.2743 0.0626
Dy2 0.8626 0.7257 0.9374
Dy3 0.8626 0.7257 0.5626
Dy4 0.1374 0.2743 0.4374
Y1 0.5673 0.1343 0.7500
Y2 0.4327 0.8657 0.2500

DOS(E_F)	1.179	states/eV/atom



(Q)
## Dy2YPt (PBE-GGA)

Data for an optimized crystal structure of Dy2YPt.

Cell lengths 3.7928, 3.7928, 9.7374 Å; angles 78.77, 78.77, 60.00 degrees
Element x y z (fractional)
Dy1 0.2710 0.2710 0.1869
Dy2 0.7290 0.7290 0.8131
Pt1 0.0000 0.0000 0.0000
Y1 0.5000 0.5000 0.5000

DOS(E_F)	1.181	states/eV/atom



Name the most stable of them. (P).